VASP calculation (PBE-GGA) on Ti8InNi2 after structural relaxation.

Unit cell a=4.728 b=6.855 c=6.855 alpha=116.66 beta=99.20 gamma=99.20
Positions (direct):
Ti: 0.928 0.908 0.671
Ti: 0.072 0.329 0.092
Ti: 0.500 0.253 0.747
Ti: 0.500 0.747 0.253
Ti: 0.072 0.092 0.329
Ti: 0.697 0.418 0.418
Ti: 0.928 0.671 0.908
Ti: 0.303 0.582 0.582
Ni: 0.000 0.296 0.704
Ni: 0.000 0.704 0.296
In: 0.500 0.000 0.000

Values from the calculation:
Its space group is C2/m. The calculation puts the calculated formation energy at -52 meV/atom.

VASP calculation (PBE-GGA) on Ti6InNi2 after structural relaxation.

Unit cell a=4.179 b=4.179 c=8.687 alpha=90.00 beta=90.00 gamma=90.00
Positions (direct):
In: 0.000 0.000 0.000
Ti: 0.500 0.000 0.727
Ti: 0.500 0.500 0.500
Ti: 0.000 0.500 0.273
Ti: 0.000 0.500 0.727
Ti: 0.500 0.000 0.273
Ti: 0.000 0.000 0.500
Ni: 0.500 0.500 0.873
Ni: 0.500 0.500 0.127

Values from the calculation:
Its space group is P4/mmm. The calculation puts the calculated formation energy at -118 meV/atom.

VASP calculation (PBE-GGA) on Ti3In3Ni after structural relaxation.

Unit cell a=4.286 b=8.622 c=8.622 alpha=120.00 beta=90.00 gamma=90.00
Positions (direct):
In: 0.750 0.682 0.841
In: 0.250 0.318 0.159
In: 0.250 0.841 0.159
In: 0.750 0.159 0.318
In: 0.750 0.159 0.841
In: 0.250 0.841 0.682
Ti: 0.750 0.885 0.443
Ti: 0.750 0.557 0.115
Ti: 0.250 0.115 0.557
Ti: 0.750 0.557 0.443
Ti: 0.250 0.443 0.557
Ti: 0.250 0.443 0.885
Ni: 0.250 0.667 0.333
Ni: 0.750 0.333 0.667

Values from the calculation:
Its space group is P6_3/mmc. The calculation puts the calculated formation energy at 9 meV/atom.

> Which of these has the lowest calculated formation energy?

Ti6InNi2

> The highest calculated formation energy belongs to which entry?

Ti3In3Ni

> What is the calculated formation energy in the third record?

9 meV/atom

> Among the records above, which one has the highest calculated formation energy?

Ti3In3Ni